# 1
Material: Sr3Br
Method: DFT, GGA-PBEsol
State: optimized geometry

a = 12.339 Å, b = 12.339 Å, c = 4.040 Å
α = 90.00°, β = 90.00°, γ = 120.00°
Fractional coordinates of all 12 atoms:
Sr  0.000  0.500  0.000
Sr  0.167  0.333  0.333
Sr  0.167  0.833  0.333
Sr  0.333  0.167  0.667
Sr  0.500  0.000  0.000
Sr  0.500  0.500  0.000
Sr  0.667  0.833  0.333
Sr  0.833  0.167  0.667
Sr  0.833  0.667  0.667
Br  0.000  0.000  0.000
Br  0.333  0.667  0.667
Br  0.667  0.333  0.333

Computed properties:
Excess energy over the best structure of this formula in the dataset, meV/atom: 315.1
Formation energy from raw total energies, eV per atom: -0.421
Symmetry: No. 166

# 2
Material: SrBr2
Method: DFT, GGA-PBEsol
State: optimized geometry

a = 7.878 Å, b = 4.738 Å, c = 9.458 Å
α = 90.00°, β = 90.00°, γ = 90.00°
Fractional coordinates of all 12 atoms:
Sr  0.245  0.250  0.112
Sr  0.255  0.750  0.612
Sr  0.745  0.250  0.388
Sr  0.755  0.750  0.888
Br  0.021  0.250  0.835
Br  0.143  0.250  0.425
Br  0.357  0.750  0.925
Br  0.479  0.750  0.335
Br  0.521  0.250  0.665
Br  0.643  0.250  0.075
Br  0.857  0.750  0.575
Br  0.979  0.750  0.165

Computed properties:
Formation energy from raw total energies, eV per atom: -2.118
Symmetry: No. 62

# 3
Material: SrBr2
Method: DFT, GGA-PBEsol
State: optimized geometry

a = 4.536 Å, b = 19.075 Å, c = 5.903 Å
α = 90.00°, β = 90.00°, γ = 90.00°
Fractional coordinates of all 12 atoms:
Sr  0.000  0.167  0.250
Sr  0.000  0.833  0.750
Sr  0.500  0.333  0.750
Sr  0.500  0.667  0.250
Br  0.000  0.216  0.750
Br  0.000  0.427  0.750
Br  0.000  0.573  0.250
Br  0.000  0.784  0.250
Br  0.500  0.073  0.250
Br  0.500  0.284  0.250
Br  0.500  0.716  0.750
Br  0.500  0.927  0.750

Computed properties:
Formation energy from raw total energies, eV per atom: -2.019
Symmetry: No. 63

# 4
Material: SrBr2
Method: DFT, GGA-PBEsol
State: optimized geometry

a = 6.475 Å, b = 6.475 Å, c = 6.475 Å
α = 60.00°, β = 60.00°, γ = 60.00°
Fractional coordinates of all 6 atoms:
Sr  0.125  0.125  0.125
Sr  0.875  0.875  0.875
Br  0.000  0.500  0.500
Br  0.500  0.000  0.500
Br  0.500  0.500  0.000
Br  0.500  0.500  0.500

Computed properties:
Formation energy from raw total energies, eV per atom: -0.817
Symmetry: No. 227

# 5
Material: Sr3Br
Method: DFT, GGA-PBEsol
State: optimized geometry

a = 4.129 Å, b = 4.129 Å, c = 11.476 Å
α = 90.00°, β = 90.00°, γ = 120.00°
Fractional coordinates of all 4 atoms:
Sr  0.000  0.000  0.000
Sr  0.333  0.667  0.295
Sr  0.333  0.667  0.705
Br  0.000  0.000  0.500

Computed properties:
Excess energy over the best structure of this formula in the dataset, meV/atom: 11.1
Formation energy from raw total energies, eV per atom: -0.725
Symmetry: No. 187

# 6
Material: SrBr2
Method: DFT, GGA-PBEsol
State: optimized geometry

a = 8.092 Å, b = 8.092 Å, c = 4.603 Å
α = 90.00°, β = 90.00°, γ = 120.00°
Fractional coordinates of all 9 atoms:
Sr  0.000  0.000  0.000
Sr  0.333  0.667  0.500
Sr  0.667  0.333  0.500
Br  0.000  0.407  0.000
Br  0.000  0.743  0.500
Br  0.257  0.257  0.500
Br  0.407  0.000  0.000
Br  0.593  0.593  0.000
Br  0.743  0.000  0.500

Computed properties:
Formation energy from raw total energies, eV per atom: -2.111
Symmetry: No. 189

Which formula does entry 2 have?
SrBr2

Number 3 is which compound?
SrBr2

Which formula does entry 5 have?
Sr3Br

The highest formation energy from raw total energies belongs to which entry?
number 1